The following is a DFT calculation (PBE) of a relaxed structure of IrC.

abc: 3.3510 3.3511 4.2178
angles: 90.00 90.00 90.00
With the nearest neighbours (Å) after each atom.
Positions (direct):
C 0.0000 0.0000 0.9166  4 Ir 2.03
C 0.5000 0.5000 0.9167  4 Ir 2.03
Ir 0.5000 0.0000 0.6430  4 C 2.03
Ir 0.0000 0.5000 0.1904  4 C 2.03

## Properties
Offset from the most stable computed form in eV/atom: 0.542
ΔH_f (0 K) in eV/atom: 1.000
Density in Mg/m³: 14.32
SG: P4/nmm
Magnetization in μB/cell: 0.00